# CoTcB | Alexandria | PBE | relaxed
# - space group = No. 11
# - density of states at the Fermi level (states/eV/cell) = 6.24
# - DFT total energy (eV per atom) = -8.203
# - offset from the most stable computed form (eV/atom) = 0.099
# - volume (Å³ per atom) = 10.19
data_CoTcB
_chemical_formula_sum 'Co2 Tc2 B2'
_cell_length_a 4.0744
_cell_length_b 3.4332
_cell_length_c 4.5441
_cell_angle_alpha 90.00
_cell_angle_beta 105.78
_cell_angle_gamma 90.00
_symmetry_space_group_name_H-M 'P 1'
_symmetry_Int_Tables_number 1
_symmetry_space_group_name_Hall 'P 1'
loop_
_atom_site_label
_atom_site_fract_x
_atom_site_fract_y
_atom_site_fract_z
Co1 0.0369 0.2500 0.1859
Co2 0.9631 0.7500 0.8141
Tc1 0.4449 0.2500 0.7669
Tc2 0.5551 0.7500 0.2331
B1 0.1307 0.7500 0.4406
B2 0.8693 0.2500 0.5594



# CoTc2B | Alexandria | PBE | relaxed
# - space group = No. 69
# - density of states at the Fermi level (states/eV/cell) = 7.15
# - DFT total energy (eV per atom) = -8.547
# - volume (Å³ per atom) = 11.45
data_CoTc2B
_chemical_formula_sum 'Co2 Tc4 B2'
_cell_length_a 5.2172
_cell_length_b 5.1218
_cell_length_c 4.8816
_cell_angle_alpha 62.82
_cell_angle_beta 60.84
_cell_angle_gamma 56.34
_symmetry_space_group_name_H-M 'P 1'
_symmetry_Int_Tables_number 1
_symmetry_space_group_name_Hall 'P 1'
loop_
_atom_site_label
_atom_site_fract_x
_atom_site_fract_y
_atom_site_fract_z
Co1 0.1750 0.8250 0.1750
Co2 0.8250 0.1750 0.8250
Tc1 0.2500 0.2500 0.2500
Tc2 0.3243 0.6757 0.6757
Tc3 0.6757 0.3243 0.3243
Tc4 0.7500 0.7500 0.7500
B1 0.2243 0.2243 0.7757
B2 0.7757 0.7757 0.2243



# CoTcB | Alexandria | PBE | relaxed
# - space group = No. 51
# - density of states at the Fermi level (states/eV/cell) = 17.80
# - DFT total energy (eV per atom) = -8.303
# - offset from the most stable computed form (eV/atom) = 0.000
# - volume (Å³ per atom) = 10.01
data_CoTcB
_chemical_formula_sum 'Co6 Tc6 B6'
_cell_length_a 9.5891
_cell_length_b 3.3929
_cell_length_c 5.5403
_cell_angle_alpha 90.00
_cell_angle_beta 90.00
_cell_angle_gamma 90.00
_symmetry_space_group_name_H-M 'P 1'
_symmetry_Int_Tables_number 1
_symmetry_space_group_name_Hall 'P 1'
loop_
_atom_site_label
_atom_site_fract_x
_atom_site_fract_y
_atom_site_fract_z
Co1 0.1202 0.0000 0.0673
Co2 0.2500 0.0000 0.7008
Co3 0.3798 0.0000 0.0673
Co4 0.6202 0.0000 0.9327
Co5 0.7500 0.0000 0.2992
Co6 0.8798 0.0000 0.9327
Tc1 0.0435 0.5000 0.7321
Tc2 0.2500 0.5000 0.3601
Tc3 0.4565 0.5000 0.7321
Tc4 0.5435 0.5000 0.2679
Tc5 0.7500 0.5000 0.6399
Tc6 0.9565 0.5000 0.2679
B1 0.0901 0.0000 0.4465
B2 0.2500 0.5000 0.9513
B3 0.4099 0.0000 0.4465
B4 0.5901 0.0000 0.5535
B5 0.7500 0.5000 0.0487
B6 0.9099 0.0000 0.5535



# CoTcB3 | Alexandria | PBE | relaxed
# - space group = No. 221
# - density of states at the Fermi level (states/eV/cell) = 5.61
# - DFT total energy (eV per atom) = -6.180
# - offset from the most stable computed form (eV/atom) = 0.392
# - volume (Å³ per atom) = 12.93
data_CoTcB3
_chemical_formula_sum 'Co1 Tc1 B3'
_cell_length_a 4.0132
_cell_length_b 4.0132
_cell_length_c 4.0132
_cell_angle_alpha 90.00
_cell_angle_beta 90.00
_cell_angle_gamma 90.00
_symmetry_space_group_name_H-M 'P 1'
_symmetry_Int_Tables_number 1
_symmetry_space_group_name_Hall 'P 1'
loop_
_atom_site_label
_atom_site_fract_x
_atom_site_fract_y
_atom_site_fract_z
Co1 0.0000 0.0000 0.0000
Tc1 0.5000 0.5000 0.5000
B1 0.0000 0.5000 0.5000
B2 0.5000 0.0000 0.5000
B3 0.5000 0.5000 0.0000



# CoTcB | Alexandria | PBE | relaxed
# - space group = No. 107
# - density of states at the Fermi level (states/eV/cell) = 4.99
# - DFT total energy (eV per atom) = -8.097
# - offset from the most stable computed form (eV/atom) = 0.206
# - volume (Å³ per atom) = 10.10
data_CoTcB
_chemical_formula_sum 'Co2 Tc2 B2'
_cell_length_a 2.6167
_cell_length_b 2.6167
_cell_length_c 8.8543
_cell_angle_alpha 90.00
_cell_angle_beta 90.00
_cell_angle_gamma 90.00
_symmetry_space_group_name_H-M 'P 1'
_symmetry_Int_Tables_number 1
_symmetry_space_group_name_Hall 'P 1'
loop_
_atom_site_label
_atom_site_fract_x
_atom_site_fract_y
_atom_site_fract_z
Co1 0.0000 0.0000 0.0000
Co2 0.5000 0.5000 0.5000
Tc1 0.0000 0.0000 0.7139
Tc2 0.5000 0.5000 0.2139
B1 0.0000 0.0000 0.3814
B2 0.5000 0.5000 0.8814



# Th2Co3TcB12 | Alexandria | PBE | relaxed
# - space group = No. 166
# - density of states at the Fermi level (states/eV/cell) = 13.34
# - DFT total energy (eV per atom) = -6.984
# - volume (Å³ per atom) = 11.10
data_Th2Co3TcB12
_chemical_formula_sum 'Th2 Co3 Tc1 B12'
_cell_length_a 8.2212
_cell_length_b 8.2212
_cell_length_c 8.2212
_cell_angle_alpha 39.21
_cell_angle_beta 39.21
_cell_angle_gamma 39.21
_symmetry_space_group_name_H-M 'P 1'
_symmetry_Int_Tables_number 1
_symmetry_space_group_name_Hall 'P 1'
loop_
_atom_site_label
_atom_site_fract_x
_atom_site_fract_y
_atom_site_fract_z
Th1 0.1392 0.1392 0.1392
Th2 0.8608 0.8608 0.8608
Co1 0.0000 0.5000 0.5000
Co2 0.5000 0.0000 0.5000
Co3 0.5000 0.5000 0.0000
Tc1 0.5000 0.5000 0.5000
B1 0.1604 0.1604 0.4752
B2 0.1604 0.4752 0.1604
B3 0.1645 0.5531 0.5531
B4 0.4469 0.4469 0.8355
B5 0.4469 0.8355 0.4469
B6 0.4752 0.1604 0.1604
B7 0.5248 0.8396 0.8396
B8 0.5531 0.1645 0.5531
B9 0.5531 0.5531 0.1645
B10 0.8355 0.4469 0.4469
B11 0.8396 0.5248 0.8396
B12 0.8396 0.8396 0.5248



# Y2Co3TcB12 | Alexandria | PBE | relaxed
# - space group = No. 166
# - density of states at the Fermi level (states/eV/cell) = 10.97
# - DFT total energy (eV per atom) = -6.866
# - volume (Å³ per atom) = 10.64
data_Y2Co3TcB12
_chemical_formula_sum 'Y2 Co3 Tc1 B12'
_cell_length_a 8.3636
_cell_length_b 8.3636
_cell_length_c 8.3636
_cell_angle_alpha 37.18
_cell_angle_beta 37.18
_cell_angle_gamma 37.18
_symmetry_space_group_name_H-M 'P 1'
_symmetry_Int_Tables_number 1
_symmetry_space_group_name_Hall 'P 1'
loop_
_atom_site_label
_atom_site_fract_x
_atom_site_fract_y
_atom_site_fract_z
Y1 0.1350 0.1350 0.1350
Y2 0.8650 0.8650 0.8650
Co1 0.0000 0.5000 0.5000
Co2 0.5000 0.0000 0.5000
Co3 0.5000 0.5000 0.0000
Tc1 0.5000 0.5000 0.5000
B1 0.1587 0.1587 0.4779
B2 0.1587 0.4779 0.1587
B3 0.1769 0.5438 0.5438
B4 0.4562 0.4562 0.8231
B5 0.4562 0.8231 0.4562
B6 0.4779 0.1587 0.1587
B7 0.5221 0.8413 0.8413
B8 0.5438 0.1769 0.5438
B9 0.5438 0.5438 0.1769
B10 0.8231 0.4562 0.4562
B11 0.8413 0.5221 0.8413
B12 0.8413 0.8413 0.5221



# ZrCoTc2B | Alexandria | PBE | relaxed
# - space group = No. 123
# - density of states at the Fermi level (states/eV/cell) = 7.21
# - DFT total energy (eV per atom) = -8.860
# - volume (Å³ per atom) = 13.74
data_ZrCoTc2B
_chemical_formula_sum 'Zr1 Co1 Tc2 B1'
_cell_length_a 4.2118
_cell_length_b 4.2118
_cell_length_c 3.8718
_cell_angle_alpha 90.00
_cell_angle_beta 90.00
_cell_angle_gamma 90.00
_symmetry_space_group_name_H-M 'P 1'
_symmetry_Int_Tables_number 1
_symmetry_space_group_name_Hall 'P 1'
loop_
_atom_site_label
_atom_site_fract_x
_atom_site_fract_y
_atom_site_fract_z
Zr1 0.0000 0.0000 0.0000
Co1 0.5000 0.5000 0.0000
Tc1 0.0000 0.5000 0.5000
Tc2 0.5000 0.0000 0.5000
B1 0.5000 0.5000 0.5000



# ZrCo2TcB | Alexandria | PBE | relaxed
# - space group = No. 123
# - density of states at the Fermi level (states/eV/cell) = 3.63
# - DFT total energy (eV per atom) = -8.287
# - volume (Å³ per atom) = 12.75
data_ZrCo2TcB
_chemical_formula_sum 'Zr1 Co2 Tc1 B1'
_cell_length_a 3.9098
_cell_length_b 3.9098
_cell_length_c 4.1698
_cell_angle_alpha 90.00
_cell_angle_beta 90.00
_cell_angle_gamma 90.00
_symmetry_space_group_name_H-M 'P 1'
_symmetry_Int_Tables_number 1
_symmetry_space_group_name_Hall 'P 1'
loop_
_atom_site_label
_atom_site_fract_x
_atom_site_fract_y
_atom_site_fract_z
Zr1 0.0000 0.0000 0.0000
Co1 0.0000 0.5000 0.5000
Co2 0.5000 0.0000 0.5000
Tc1 0.5000 0.5000 0.0000
B1 0.5000 0.5000 0.5000



# CoB2Te | Alexandria | PBE | relaxed
# - space group = No. 10
# - density of states at the Fermi level (states/eV/cell) = 1.57
# - DFT total energy (eV per atom) = -5.818
# - ΔE_f (raw) (eV per atom) = 0.0829
# - volume (Å³ per atom) = 13.92
data_CoB2Te
_chemical_formula_sum 'Co1 B2 Te1'
_cell_length_a 3.0530
_cell_length_b 5.4431
_cell_length_c 3.6744
_cell_angle_alpha 90.00
_cell_angle_beta 114.22
_cell_angle_gamma 90.00
_symmetry_space_group_name_H-M 'P 1'
_symmetry_Int_Tables_number 1
_symmetry_space_group_name_Hall 'P 1'
loop_
_atom_site_label
_atom_site_fract_x
_atom_site_fract_y
_atom_site_fract_z
Co1 0.0000 0.0000 0.0000
B1 0.2991 0.0000 0.5987
B2 0.7009 0.0000 0.4013
Te1 0.0000 0.5000 0.0000



# CoB2Te | Alexandria | PBE | relaxed
# - space group = No. 38
# - density of states at the Fermi level (states/eV/cell) = 5.61
# - DFT total energy (eV per atom) = -5.593
# - ΔE_f (raw) (eV per atom) = 0.3077
# - volume (Å³ per atom) = 13.91
data_CoB2Te
_chemical_formula_sum 'Co2 B4 Te2'
_cell_length_a 3.0013
_cell_length_b 2.9395
_cell_length_c 12.6155
_cell_angle_alpha 90.00
_cell_angle_beta 90.00
_cell_angle_gamma 90.00
_symmetry_space_group_name_H-M 'P 1'
_symmetry_Int_Tables_number 1
_symmetry_space_group_name_Hall 'P 1'
loop_
_atom_site_label
_atom_site_fract_x
_atom_site_fract_y
_atom_site_fract_z
Co1 0.0000 0.0000 0.0000
Co2 0.0000 0.5000 0.5000
B1 0.0000 0.0000 0.6053
B2 0.0000 0.5000 0.1053
B3 0.5000 0.0000 0.5439
B4 0.5000 0.5000 0.0439
Te1 0.0000 0.0000 0.7903
Te2 0.0000 0.5000 0.2903



# CoB2Te | Alexandria | PBE | relaxed
# - space group = No. 35
# - density of states at the Fermi level (states/eV/cell) = 3.52
# - DFT total energy (eV per atom) = -5.754
# - ΔE_f (raw) (eV per atom) = 0.1462
# - volume (Å³ per atom) = 14.80
data_CoB2Te
_chemical_formula_sum 'Co2 B4 Te2'
_cell_length_a 3.0650
_cell_length_b 6.7193
_cell_length_c 5.7502
_cell_angle_alpha 90.00
_cell_angle_beta 90.00
_cell_angle_gamma 90.00
_symmetry_space_group_name_H-M 'P 1'
_symmetry_Int_Tables_number 1
_symmetry_space_group_name_Hall 'P 1'
loop_
_atom_site_label
_atom_site_fract_x
_atom_site_fract_y
_atom_site_fract_z
Co1 0.0000 0.0000 0.0000
Co2 0.5000 0.5000 0.0000
B1 0.0000 0.2999 0.0557
B2 0.0000 0.7001 0.0557
B3 0.5000 0.2001 0.0557
B4 0.5000 0.7999 0.0557
Te1 0.0000 0.5000 0.6326
Te2 0.5000 0.0000 0.6326